No. 1
Li2YMo | meta-GGA SCAN | PBEsol geometry

Calculated values
E above lowest polymorph ... 0.34 eV/f.u.

```
data_Li2YMo
_cell_length_a 4.0577
_cell_length_b 4.0577
_cell_length_c 8.5752
_cell_angle_alpha 90.00
_cell_angle_beta 90.00
_cell_angle_gamma 90.00
_symmetry_space_group_name_H-M 'I -4 m 2'
_symmetry_Int_Tables_number 119
_symmetry_space_group_name_Hall 'I -4 -2'
loop_
_atom_site_label
_atom_site_fract_x
_atom_site_fract_y
_atom_site_fract_z
_atom_site_occupancy
Li1 0.0000 0.0000 0.0000 1
Li2 0.0000 0.5000 0.2500 1
Y1 0.0000 0.5000 0.7500 1
Mo1 0.0000 0.0000 0.5000 1
```


No. 2
LiZnMo2 | meta-GGA SCAN | PBEsol geometry

```
data_LiZnMo2
_cell_length_a 3.6066
_cell_length_b 3.6066
_cell_length_c 4.3168
_cell_angle_alpha 90.00
_cell_angle_beta 90.00
_cell_angle_gamma 90.00
_symmetry_space_group_name_H-M 'P 4/m m m'
_symmetry_Int_Tables_number 123
_symmetry_space_group_name_Hall '-P 4 2'
loop_
_atom_site_label
_atom_site_fract_x
_atom_site_fract_y
_atom_site_fract_z
_atom_site_occupancy
Li1 0.0000 0.0000 0.0000 1
Zn1 0.5000 0.5000 0.0000 1
Mo1 0.0000 0.5000 0.5000 1
```


No. 3
LiZnMo2 | meta-GGA SCAN | PBEsol geometry

```
data_LiZnMo2
_cell_length_a 5.0702
_cell_length_b 8.6820
_cell_length_c 2.5717
_cell_angle_alpha 90.00
_cell_angle_beta 90.00
_cell_angle_gamma 90.00
_symmetry_space_group_name_H-M 'C m m m'
_symmetry_Int_Tables_number 65
_symmetry_space_group_name_Hall '-C 2 2'
loop_
_atom_site_label
_atom_site_fract_x
_atom_site_fract_y
_atom_site_fract_z
_atom_site_occupancy
Li1 0.0000 0.0000 0.0000 1
Zn1 0.0000 0.5000 0.0000 1
Mo1 0.2500 0.2500 0.5000 1
```


No. 4
LiZnMo2 | meta-GGA SCAN | PBEsol geometry

```
data_LiZnMo2
_cell_length_a 6.1148
_cell_length_b 6.1148
_cell_length_c 6.1148
_cell_angle_alpha 90.00
_cell_angle_beta 90.00
_cell_angle_gamma 90.00
_symmetry_space_group_name_H-M 'F -4 3 m'
_symmetry_Int_Tables_number 216
_symmetry_space_group_name_Hall 'F -4 2 3'
loop_
_atom_site_label
_atom_site_fract_x
_atom_site_fract_y
_atom_site_fract_z
_atom_site_occupancy
Li1 0.0000 0.0000 0.0000 1
Zn1 0.2500 0.2500 0.7500 1
Mo1 0.0000 0.0000 0.5000 1
Mo2 0.2500 0.2500 0.2500 1
```


No. 5
Li3ZnMo | meta-GGA SCAN | PBEsol geometry

```
data_Li3ZnMo
_cell_length_a 4.5197
_cell_length_b 4.5197
_cell_length_c 4.5197
_cell_angle_alpha 90.00
_cell_angle_beta 90.00
_cell_angle_gamma 90.00
_symmetry_space_group_name_H-M 'P m -3 m'
_symmetry_Int_Tables_number 221
_symmetry_space_group_name_Hall '-P 4 2 3'
loop_
_atom_site_label
_atom_site_fract_x
_atom_site_fract_y
_atom_site_fract_z
_atom_site_occupancy
Li1 0.0000 0.0000 0.5000 1
Zn1 0.0000 0.0000 0.0000 1
Mo1 0.5000 0.5000 0.5000 1
```


No. 6
LiZnMo2 | meta-GGA SCAN | PBEsol geometry

```
data_LiZnMo2
_cell_length_a 2.6811
_cell_length_b 2.6811
_cell_length_c 28.6972
_cell_angle_alpha 90.00
_cell_angle_beta 90.00
_cell_angle_gamma 120.00
_symmetry_space_group_name_H-M 'R -3 m'
_symmetry_Int_Tables_number 166
_symmetry_space_group_name_Hall '-R 3 2"'
loop_
_atom_site_label
_atom_site_fract_x
_atom_site_fract_y
_atom_site_fract_z
_atom_site_occupancy
Li1 0.0000 0.0000 0.0000 1
Zn1 0.0000 0.0000 0.5000 1
Mo1 0.0000 0.0000 0.2471 1
```


No. 7
LiZr2Mo | meta-GGA SCAN | PBEsol geometry

Calculated values
E above lowest polymorph ... 1.07 eV/f.u.

```
data_LiZr2Mo
_cell_length_a 4.0658
_cell_length_b 4.0658
_cell_length_c 8.6960
_cell_angle_alpha 90.00
_cell_angle_beta 90.00
_cell_angle_gamma 90.00
_symmetry_space_group_name_H-M 'I -4 m 2'
_symmetry_Int_Tables_number 119
_symmetry_space_group_name_Hall 'I -4 -2'
loop_
_atom_site_label
_atom_site_fract_x
_atom_site_fract_y
_atom_site_fract_z
_atom_site_occupancy
Li1 0.0000 0.0000 0.0000 1
Zr1 0.0000 0.0000 0.5000 1
Zr2 0.0000 0.5000 0.7500 1
Mo1 0.0000 0.5000 0.2500 1
```


No. 8
LiZr2Mo | meta-GGA SCAN | PBEsol geometry

Calculated values
E above lowest polymorph ... 1.08 eV/f.u.

```
data_LiZr2Mo
_cell_length_a 3.1685
_cell_length_b 4.7764
_cell_length_c 10.0415
_cell_angle_alpha 90.00
_cell_angle_beta 90.00
_cell_angle_gamma 90.00
_symmetry_space_group_name_H-M 'C m m 2'
_symmetry_Int_Tables_number 35
_symmetry_space_group_name_Hall 'C 2 -2'
loop_
_atom_site_label
_atom_site_fract_x
_atom_site_fract_y
_atom_site_fract_z
_atom_site_occupancy
Li1 0.0000 0.0000 0.0000 1
Zr1 0.0000 0.0000 0.5484 1
Zr2 0.0000 0.5000 0.2719 1
Mo1 0.0000 0.5000 0.7673 1
```


no.,ΔH_f (0 K) (meV/atom),total DFT energy (no corrections) (eV/cell)
1,644,-129.86
2,202,-84.87
3,235,-169.47
4,310,-337.74
5,867,-51.24
6,376,-252.51
7,308,-194.88
8,311,-194.86